3
Lattice="0.000 3.410 3.410 3.410 0.000 3.410 3.410 3.410 0.000" Properties=species:S:1:pos:R:3 comment="TmCdAs PBE relaxed" e_tot_ev_per_cell=-11.2 relative_energy_ev_per_atom=0.0000 pbc="T T T"
Cd 5.115 5.115 5.115
Tm 0.000 0.000 0.000
As 1.705 1.705 1.705

3
Lattice="-0.289 -4.640 1.115 -1.412 -1.324 4.372 -4.276 -2.049 0.613" Properties=species:S:1:pos:R:3 comment="TmCdAs PBE relaxed" e_tot_ev_per_cell=-10.3 relative_energy_ev_per_atom=0.3243 pbc="T T T"
Cd 0.000 0.000 0.000
Tm -4.483 -6.011 4.575
As -1.494 -2.004 1.525

3
Lattice="0.000 3.083 3.083 3.083 0.000 3.083 3.083 3.083 0.000" Properties=species:S:1:pos:R:3 comment="CdAsW PBE relaxed" e_tot_ev_per_cell=-15.8 relative_energy_ev_per_atom=0.0055 pbc="T T T"
W 4.624 4.624 4.624
Cd 1.541 1.541 1.541
As 0.000 0.000 0.000

3
Lattice="4.407 -0.225 -0.536 2.273 -3.422 1.696 1.757 -3.059 -2.704" Properties=species:S:1:pos:R:3 comment="CdAsW PBE relaxed" e_tot_ev_per_cell=-15.8 relative_energy_ev_per_atom=0.0000 pbc="T T T"
As 2.109 -1.677 -0.386
W 0.000 0.000 0.000
Cd 6.327 -5.030 -1.157

4
Lattice="-3.220 0.523 3.376 -1.291 4.302 1.366 -4.277 1.616 -1.066" Properties=species:S:1:pos:R:3 comment="CdAs2W PBE relaxed" e_tot_ev_per_cell=-19.5 pbc="T T T"
W 0.000 0.000 0.000
As -4.394 3.220 1.838
As -2.197 1.610 0.919
Cd -6.591 4.830 2.757

8
Lattice="-2.948 2.948 5.715 2.948 -2.948 5.715 2.948 2.948 -5.715" Properties=species:S:1:pos:R:3 comment="ZnCdAs4W2 PBE relaxed" e_tot_ev_per_cell=-43.3 pbc="T T T"
As 4.271 1.560 -1.514
As -1.323 1.388 4.201
As 1.560 1.625 1.514
As 1.388 1.323 7.229
W 0.000 2.948 2.857
W 0.000 0.000 5.715
Cd 0.000 0.000 0.000
Zn 2.948 0.000 2.857

4
Lattice="0.345 0.260 5.041 -3.348 -2.451 2.895 1.442 -4.062 2.650" Properties=species:S:1:pos:R:3 comment="YCd2As PBE relaxed" e_tot_ev_per_cell=-14.0 pbc="T T T"
Y -0.390 -1.563 2.647
Cd 0.000 0.000 0.000
Cd -1.171 -4.690 7.940
As -0.781 -3.126 5.293

4
Lattice="0.000 3.400 3.400 3.400 0.000 3.400 3.400 3.400 0.000" Properties=species:S:1:pos:R:3 comment="ZnCdAs2 PBE relaxed" e_tot_ev_per_cell=-10.3 relative_energy_ev_per_atom=0.1775 pbc="T T T"
Zn 5.100 5.100 5.100
As 1.700 1.700 1.700
As 0.000 0.000 0.000
Cd 3.400 3.400 3.400